No. 1
Material: CaAgMoPd
Method: DFT, GGA-PBE
State: relaxed

Results
* VASP energy: -19.5 eV/f.u.
* energy of formation from the pure elements: 0.333 eV/atom
* polymorph energy (0 for the lowest one): 4.12 kcal/mol of atoms

Unit cell a=5.854 b=5.854 c=5.854 alpha=44.58 beta=44.58 gamma=44.58
Fractional positions:
Ca 0.000 0.000 0.000
Ag 0.790 0.790 0.790
Mo 0.199 0.199 0.199
Pd 0.526 0.526 0.526

No. 2
Material: CaAgMoPd
Method: DFT, GGA-PBE
State: relaxed

Results
* VASP energy: -20.2 eV/f.u.
* energy of formation from the pure elements: 0.158 eV/atom
* polymorph energy (0 for the lowest one): 0.07 kcal/mol of atoms

Unit cell a=2.955 b=2.955 c=8.498 alpha=90.00 beta=90.00 gamma=90.00
Fractional positions:
Ca 0.000 0.000 0.000
Ag 0.500 0.500 0.713
Mo 0.000 0.000 0.469
Pd 0.500 0.500 0.260

No. 3
Material: CaAgMoPd
Method: DFT, GGA-PBE
State: relaxed

Results
* VASP energy: -20.0 eV/f.u.
* energy of formation from the pure elements: 0.219 eV/atom
* polymorph energy (0 for the lowest one): 1.47 kcal/mol of atoms

Unit cell a=2.866 b=5.227 c=5.252 alpha=101.06 beta=105.60 gamma=90.15
Fractional positions:
Ca 0.000 0.000 0.000
Ag 0.244 0.818 0.484
Mo 0.777 0.354 0.554
Pd 0.517 0.489 0.033

No. 4
Material: CaAgMoPd
Method: DFT, GGA-PBE
State: relaxed

Results
* VASP energy: -20.3 eV/f.u.
* energy of formation from the pure elements: 0.155 eV/atom
* polymorph energy (0 for the lowest one): 0.00 kcal/mol of atoms

Unit cell a=2.876 b=3.962 c=6.739 alpha=90.00 beta=90.00 gamma=90.00
Fractional positions:
Ca 0.000 0.000 0.000
Ag 0.500 0.500 0.294
Mo 0.000 0.000 0.527
Pd 0.500 0.500 0.712

No. 5
Material: CaTaAg2Mo
Method: DFT, GGA-PBE
State: relaxed

Results
* VASP energy: -20.8 eV/f.u.
* energy of formation from the pure elements: 1.925 eV/atom

Unit cell a=5.114 b=5.114 c=5.401 alpha=90.00 beta=90.00 gamma=90.00
Fractional positions:
Ca 0.000 0.000 0.000
Ta 0.000 0.000 0.500
Ag 0.000 0.500 0.500
Ag 0.500 0.000 0.500
Mo 0.500 0.500 0.000

No. 6
Material: Ca5Ag2N4
Method: DFT, GGA-PBE
State: relaxed

Results
* VASP energy: -55.2 eV/f.u.
* ΔE_f (raw): -54.3 kJ/mol of atoms

Unit cell a=7.990 b=7.990 c=13.385 alpha=90.00 beta=90.00 gamma=90.00
Fractional positions:
Ca 0.077 0.633 0.084
Ca 0.077 0.867 0.584
Ca 0.133 0.577 0.416
Ca 0.133 0.923 0.916
Ca 0.250 0.250 0.128
Ca 0.250 0.250 0.628
Ca 0.367 0.577 0.916
Ca 0.367 0.923 0.416
Ca 0.423 0.633 0.584
Ca 0.423 0.867 0.084
Ca 0.577 0.133 0.916
Ca 0.577 0.367 0.416
Ca 0.633 0.077 0.584
Ca 0.633 0.423 0.084
Ca 0.750 0.750 0.372
Ca 0.750 0.750 0.872
Ca 0.867 0.077 0.084
Ca 0.867 0.423 0.584
Ca 0.923 0.133 0.416
Ca 0.923 0.367 0.916
Ag 0.095 0.595 0.750
Ag 0.095 0.905 0.250
Ag 0.405 0.595 0.250
Ag 0.405 0.905 0.750
Ag 0.595 0.095 0.250
Ag 0.595 0.405 0.750
Ag 0.905 0.095 0.750
Ag 0.905 0.405 0.250
N 0.051 0.637 0.904
N 0.051 0.863 0.404
N 0.137 0.551 0.596
N 0.137 0.949 0.096
N 0.363 0.551 0.096
N 0.363 0.949 0.596
N 0.449 0.637 0.404
N 0.449 0.863 0.904
N 0.551 0.137 0.096
N 0.551 0.363 0.596
N 0.637 0.051 0.404
N 0.637 0.449 0.904
N 0.863 0.051 0.904
N 0.863 0.449 0.404
N 0.949 0.137 0.596
N 0.949 0.363 0.096